1.
Zn2Sb | PBE | optimized geometry

Lattice parameters (Å, degrees): 3.950 6.477 9.788 90.00 90.00 90.00
Fractional coordinates of all 12 atoms:
1 Sb 0.250 0.745 0.388
2 Sb 0.750 0.755 0.888
3 Sb 0.250 0.245 0.112
4 Sb 0.750 0.255 0.612
5 Zn 0.250 0.070 0.817
6 Zn 0.750 0.430 0.317
7 Zn 0.250 0.570 0.683
8 Zn 0.750 0.930 0.183
9 Zn 0.250 0.173 0.406
10 Zn 0.750 0.327 0.906
11 Zn 0.250 0.673 0.094
12 Zn 0.750 0.827 0.594


2.
Zn2Sb | PBE | optimized geometry

Lattice parameters (Å, degrees): 5.673 5.673 5.673 121.51 121.51 87.40
Fractional coordinates of all 6 atoms:
1 Zn 0.172 0.672 0.843
2 Zn 0.828 0.328 0.157
3 Zn 0.672 0.828 0.500
4 Zn 0.328 0.172 0.500
5 Sb 0.750 0.750 0.000
6 Sb 0.250 0.250 0.000


3.
Zn2Sb | PBE | optimized geometry

Lattice parameters (Å, degrees): 4.650 4.650 4.650 60.00 60.00 60.00
Fractional coordinates of all 3 atoms:
1 Sb 0.000 0.000 0.000
2 Zn 0.750 0.750 0.750
3 Zn 0.250 0.250 0.250


4.
Zn2Sb | PBE | optimized geometry

Lattice parameters (Å, degrees): 6.461 6.461 6.783 60.40 60.40 31.42
Fractional coordinates of all 6 atoms:
1 Zn 0.160 0.160 0.010
2 Zn 0.771 0.771 0.669
3 Zn 0.229 0.229 0.331
4 Zn 0.840 0.840 0.990
5 Sb 0.457 0.457 0.329
6 Sb 0.543 0.543 0.671


Ordered raw formation energy results: 0.125 0.139 0.138 0.130; unit eV/atom.